(1)
VASP calculation (PBE) on a relaxed BaTlSe crystal.

Formation energy (no corrections) (eV per atom): -0.902
Size of the total moment (μB/f.u.): 0.0
Calculated density (g cm⁻³): 6.78
ΔE to the lowest computed polymorph (eV per formula unit): 0.770
Electronic total energy (eV per atom): -3.493

Geometry as POSCAR:
```
BaTlSe
1.0
5.2036 0.0000 0.0000
-2.6018 4.5064 0.0000
0.0000 0.0000 4.3965
Ba Tl Se
1 1 1
Cartesian
0.0000 0.0000 0.0000 Ba
0.0000 3.0043 2.1983 Tl
2.6018 1.5021 2.1983 Se
```


(2)
VASP calculation (PBE) on a relaxed LiMn2Fe crystal.

Size of the total moment (μB/f.u.): 3.0
Calculated density (g cm⁻³): 5.75
ΔE to the lowest computed polymorph (eV per formula unit): 0.196
ΔE_f (meV/atom): 272
Electronic total energy (eV per atom): -6.907

Geometry as POSCAR:
```
LiMn2Fe
1.0
2.5533 0.0000 0.0000
0.0000 2.5533 0.0000
0.0000 0.0000 7.6473
Li Mn Fe
1 2 1
Cartesian
0.0000 0.0000 0.0000 Li
0.0000 0.0000 3.9096 Mn
1.2767 1.2767 2.2046 Mn
1.2767 1.2767 5.5807 Fe
```


(3)
VASP calculation (PBE) on a relaxed Dy3ZnIn crystal.

Size of the total moment (μB/f.u.): 0.0
Calculated density (g cm⁻³): 8.34
ΔE to the lowest computed polymorph (eV per formula unit): 0.000
ΔE_f (meV/atom): -300
Electronic total energy (eV per atom): -3.863

Geometry as POSCAR:
```
Dy3ZnIn
1.0
2.5562 -10.1790 0.0000
2.5562 10.1790 0.0000
0.0000 0.0000 5.1107
Dy Zn In
6 2 2
Cartesian
2.5562 8.8917 3.8330 Dy
2.5562 5.0902 3.8330 Dy
2.5562 1.2857 3.8330 Dy
2.5562 -1.2857 1.2777 Dy
2.5562 -5.0902 1.2777 Dy
2.5562 -8.8917 1.2777 Dy
2.5562 7.0097 1.2777 Zn
2.5562 -7.0097 3.8330 Zn
2.5562 3.2175 1.2777 In
2.5562 -3.2175 3.8330 In
```


(4)
VASP calculation (PBE) on a relaxed AlINF2 crystal.

Formation energy (no corrections) (eV per atom): 0.123
Size of the total moment (μB/f.u.): 0.0
Calculated density (g cm⁻³): 3.56
ΔE to the lowest computed polymorph (eV per formula unit): 6.303
Electronic total energy (eV per atom): -3.349

Geometry as POSCAR:
```
AlINF2
1.0
4.8881 0.0000 0.0000
0.0000 4.8881 0.0000
0.0000 0.0000 4.0185
Al I N F
1 1 1 2
Cartesian
0.0000 0.0000 0.0000 Al
2.4441 2.4441 2.0092 I
2.4441 2.4441 0.0000 N
0.0000 2.4441 2.0092 F
2.4441 0.0000 2.0092 F
```


(5)
VASP calculation (PBE) on a relaxed NaLaTlPb crystal.

Size of the total moment (μB/f.u.): 0.0
Calculated density (g cm⁻³): 7.94
ΔE_f (meV/atom): -332
Electronic total energy (eV per atom): -3.412

Geometry as POSCAR:
```
NaLaTlPb
1.0
0.0000 3.9141 3.9141
3.9141 0.0000 3.9141
3.9141 3.9141 0.0000
Na La Tl Pb
1 1 1 1
Cartesian
0.0000 0.0000 0.0000 Na
3.9141 3.9141 3.9141 La
1.9570 1.9570 1.9570 Tl
5.8711 5.8711 5.8711 Pb
```


(6)
VASP calculation (PBE) on a relaxed Ac2Sm crystal.

Size of the total moment (μB/f.u.): 0.0
Calculated density (g cm⁻³): 7.72
ΔE to the lowest computed polymorph (eV per formula unit): 0.933
ΔE_f (meV/atom): 348
Electronic total energy (eV per atom): -3.964

Geometry as POSCAR:
```
Ac2Sm
1.0
0.0000 5.0651 5.0651
5.0651 0.0000 5.0651
5.0651 5.0651 0.0000
Ac Sm
4 2
Cartesian
0.0000 0.0000 0.0000 Ac
2.5325 2.5325 0.0000 Ac
2.5325 0.0000 2.5325 Ac
0.0000 2.5325 2.5325 Ac
3.7988 3.7988 3.7988 Sm
6.3313 6.3313 6.3313 Sm
```


(7)
VASP calculation (PBE) on a relaxed CaHg3P crystal.

Size of the total moment (μB/f.u.): 0.0
Calculated density (g cm⁻³): 7.97
ΔE to the lowest computed polymorph (eV per formula unit): 0.000
ΔE_f (meV/atom): 108
Electronic total energy (eV per atom): -1.556

Geometry as POSCAR:
```
CaHg3P
1.0
5.1948 0.0000 0.0000
0.0000 5.1948 0.0000
0.0000 0.0000 5.1948
Ca Hg P
1 3 1
Cartesian
0.0000 0.0000 0.0000 Ca
0.0000 2.5974 2.5974 Hg
2.5974 0.0000 2.5974 Hg
2.5974 2.5974 0.0000 Hg
2.5974 2.5974 2.5974 P
```


(8)
VASP calculation (PBE) on a relaxed TbMo2N4 crystal.

Formation energy (no corrections) (eV per atom): -0.699
Size of the total moment (μB/f.u.): 0.0
Calculated density (g cm⁻³): 8.39
Electronic total energy (eV per atom): -9.213

Geometry as POSCAR:
```
TbMo2N4
1.0
1.6348 -4.9298 0.0000
1.6348 4.9298 0.0000
0.0000 0.0000 9.9960
Tb Mo N
2 4 8
Cartesian
1.6348 3.7145 7.4970 Tb
1.6348 -3.7145 2.4990 Tb
1.6348 1.1596 5.5764 Mo
1.6348 1.1596 9.4175 Mo
1.6348 -1.1596 0.5784 Mo
1.6348 -1.1596 4.4196 Mo
0.0000 0.0000 0.0000 N
0.0000 0.0000 4.9980 N
1.6348 2.3310 1.0827 N
1.6348 2.3310 3.9152 N
1.6348 0.6390 7.4970 N
1.6348 -0.6390 2.4990 N
1.6348 -2.3310 6.0807 N
1.6348 -2.3310 8.9132 N
```